A plane-wave DFT calculation with PBE was carried out for a relaxed MgTa2Os crystal.

a = 5.591 Å, b = 9.173 Å, c = 2.776 Å
α = 90.00°, β = 108.25°, γ = 90.00°
Space group C2/m (No. 12)
Unique sites:
Mg  0.000  0.000  0.000 [2 per cell]
Ta  0.250  0.250  0.500 [4 per cell]
Os  0.000  0.500  0.000 [2 per cell]

Its crystal system is monoclinic. Its formation energy is 0.118 eV/atom. The spin magnetization is 0.00 μB/f.u. The calculation puts the energy at -9.01 eV per atom.